# 1
PBE-GGA Sm2MgPb5, relaxed; energy of formation = -2.95 eV per formula unit; crystal system = orthorhombic; total energy = -65.05 eV/cell
1.0
-0.783 4.901 -0.266
-6.244 -1.126 -2.366
-4.786 -0.076 12.667
Pb Sm Mg
10 4 2
Cartesian
-4.445 -0.610 1.830
-1.393 -0.049 3.198
-7.115 1.542 2.903
0.000 0.000 0.000
-4.698 2.157 7.131
-5.515 -0.601 5.150
-9.637 -1.153 7.103
-6.585 -0.592 8.470
-9.118 1.574 9.384
-2.695 2.125 0.650
-5.924 1.559 -0.281
-3.907 2.104 3.826
-5.889 2.140 10.316
-7.905 1.595 6.208
-2.393 -0.038 6.333
-3.122 -0.563 -1.183

***

# 2
PBE-GGA Rb2PbBr2, relaxed; energy relative to the elements, uncorrected = -980 meV/atom; crystal system = tetragonal; total energy = -27.78 eV/cell
1.0
9.630 0.000 0.000
0.000 9.630 0.000
0.000 0.000 4.081
Rb Br Pb
4 4 2
Cartesian
8.221 3.406 2.041
6.223 8.221 2.041
1.408 6.223 2.041
3.406 1.408 2.041
3.315 8.129 0.000
8.129 6.315 0.000
1.500 3.315 0.000
6.315 1.500 0.000
4.815 4.815 0.000
0.000 0.000 0.000

***

# 3
PBE-GGA Pm5PrTm2, relaxed; energy of formation = 0.11 eV per formula unit; crystal system = orthorhombic; total energy = -74.74 eV/cell
1.0
-0.772 -4.753 -1.689
4.983 1.018 -5.143
10.253 -4.855 8.974
Pm Tm Pr
10 4 2
Cartesian
10.168 -3.131 4.163
7.618 -1.918 1.916
4.647 -2.221 -3.584
9.817 -6.369 5.726
4.708 -3.938 1.222
2.567 -1.209 2.230
9.756 -4.651 0.921
5.069 -0.705 -0.332
0.000 0.000 0.000
12.669 -2.627 1.601
7.267 -5.159 3.486
2.149 -2.729 -1.009
7.197 -3.431 -1.344
12.315 -5.860 3.152
2.492 0.509 -2.571
5.127 -2.427 4.487

***

# 4
PBE-GGA V4Mo2Ru, relaxed; energy of formation = 1.14 eV per formula unit; crystal system = tetragonal; total energy = -66.27 eV/cell
1.0
4.902 -0.051 -1.756
-2.458 4.267 -1.695
-0.029 0.051 5.207
V Mo Ru
4 2 1
Cartesian
2.451 -0.026 -0.878
-1.229 2.133 -0.847
-0.015 0.026 2.604
1.207 2.133 0.878
2.436 0.000 1.725
1.222 2.108 -1.725
0.000 0.000 0.000

***

- total energy of number 3 (Pm5PrTm2)?
  -74.74 eV/cell

***

- Which of these has the highest total energy?
  Rb2PbBr2

***

Copy entry 2 word for word.
PBE-GGA Rb2PbBr2, relaxed; energy relative to the elements, uncorrected = -980 meV/atom; crystal system = tetragonal; total energy = -27.78 eV/cell
1.0
9.630 0.000 0.000
0.000 9.630 0.000
0.000 0.000 4.081
Rb Br Pb
4 4 2
Cartesian
8.221 3.406 2.041
6.223 8.221 2.041
1.408 6.223 2.041
3.406 1.408 2.041
3.315 8.129 0.000
8.129 6.315 0.000
1.500 3.315 0.000
6.315 1.500 0.000
4.815 4.815 0.000
0.000 0.000 0.000

***

- What is the formula in the third record?
  Pm5PrTm2